The following is a DFT calculation (GGA+U) of an optimized crystal structure of AlNiPdF6.

Results
**VASP energy**: -4.854 eV per atom
**Mass density**: 4.3 Mg/m³

a = 5.1880 Å, b = 5.1880 Å, c = 10.2223 Å
α = 90.00°, β = 90.00°, γ = 120.00°
Element x y z (fractional)
F: 0.6144 0.6427 0.6496
F: 0.6427 0.6144 0.1496
F: 0.3573 0.9717 0.6496
F: 0.6144 0.9717 0.8504
F: 0.0283 0.6427 0.8504
F: 0.0283 0.3856 0.6496
F: 0.9717 0.3573 0.1496
F: 0.6427 0.0283 0.3504
F: 0.3856 0.3573 0.3504
F: 0.3856 0.0283 0.1496
F: 0.9717 0.6144 0.3504
F: 0.3573 0.3856 0.8504
Al: 0.6667 0.3333 0.2500
Al: 0.3333 0.6667 0.7500
Pd: 0.0000 0.0000 0.0000
Pd: 0.0000 0.0000 0.5000
Ni: 0.6667 0.3333 0.7500
Ni: 0.3333 0.6667 0.2500